Arrangement i

# TaFeSbPd (GGA-PBE, optimized geometry)
data_TaFeSbPd
_chemical_formula_sum 'Ta4 Fe4 Sb4 Pd4'
_space_group_name_H-M_alt 'F -4 3 m'
_space_group_IT_number 216
_space_group_name_Hall 'F -4 2 3'
_cell_length_a 6.396
_cell_length_b 6.396
_cell_length_c 6.396
_cell_angle_alpha 90.00
_cell_angle_beta 90.00
_cell_angle_gamma 90.00
loop_
_atom_site_label
_atom_site_fract_x
_atom_site_fract_y
_atom_site_fract_z
Ta1 0.000 0.000 0.000
Fe1 0.250 0.250 0.750
Sb1 0.000 0.000 0.500
Pd1 0.250 0.250 0.250
# Magnetization = 0.213 μB/atom
# Theoretical density = 11.81 g/cm3

Arrangement ii

# TaFeSbPd (GGA-PBE, optimized geometry)
data_TaFeSbPd
_chemical_formula_sum 'Ta4 Fe4 Sb4 Pd4'
_space_group_name_H-M_alt 'F -4 3 m'
_space_group_IT_number 216
_space_group_name_Hall 'F -4 2 3'
_cell_length_a 6.435
_cell_length_b 6.435
_cell_length_c 6.435
_cell_angle_alpha 90.00
_cell_angle_beta 90.00
_cell_angle_gamma 90.00
loop_
_atom_site_label
_atom_site_fract_x
_atom_site_fract_y
_atom_site_fract_z
Ta1 0.000 0.000 0.000
Fe1 0.000 0.000 0.500
Sb1 0.250 0.250 0.250
Pd1 0.250 0.250 0.750
# Magnetization = 0.476 μB/atom
# Theoretical density = 11.59 g/cm3

Most stable: arrangement i